# BeBrO3 (meta-GGA SCAN, single point on PBEsol structure)
# Formation energy without anion corrections = 0.800 eV/atom
# Space-group type = Pm-3m (221)
# E_tot = -7.701 eV per atom
data_BeBrO3
_symmetry_space_group_name_H-M 'P 1'
_symmetry_Int_Tables_number 1
_cell_length_a 3.911
_cell_length_b 3.911
_cell_length_c 3.911
_cell_angle_alpha 90.00
_cell_angle_beta 90.00
_cell_angle_gamma 90.00
loop_
_symmetry_equiv_pos_as_xyz
'x,y,z'
loop_
_atom_site_label
_atom_site_type_symbol
_atom_site_fract_x
_atom_site_fract_y
_atom_site_fract_z
_atom_site_occupancy
Be1 Be 0.000 0.000 0.000 1
O1 O 0.500 0.500 0.000 1
Br1 Br 0.500 0.500 0.500 1
O2 O 0.000 0.500 0.500 1
O3 O 0.500 0.000 0.500 1